# 1
Material: SmNp3Tl3Te8
Method: DFT, PBE
State: relaxed

abc: 9.671 9.671 9.671
angles: 54.86 54.86 54.86
Element x y z (fractional)
Sm  0.000  0.000  0.000
Np  0.000  0.500  0.500
Np  0.500  0.000  0.500
Np  0.500  0.500  0.000
Tl  0.000  0.000  0.500
Tl  0.000  0.500  0.000
Tl  0.500  0.000  0.000
Te  0.242  0.242  0.732
Te  0.242  0.732  0.242
Te  0.262  0.262  0.262
Te  0.268  0.758  0.758
Te  0.732  0.242  0.242
Te  0.738  0.738  0.738
Te  0.758  0.268  0.758
Te  0.758  0.758  0.268

Raw formation energy   -0.702 eV per atom
Mass density   7.360 g/cm3
Volume   563.0 Å³ per cell


# 2
Material: Tb8TcIr2
Method: DFT, PBE
State: relaxed

abc: 7.590 7.590 5.848
angles: 100.37 100.37 113.20
Element x y z (fractional)
Tb  0.000  0.000  0.000
Tb  0.032  0.285  0.599
Tb  0.152  0.581  0.191
Tb  0.285  0.032  0.599
Tb  0.438  0.692  0.795
Tb  0.581  0.152  0.191
Tb  0.692  0.438  0.795
Tb  0.719  0.719  0.377
Tc  0.358  0.358  0.099
Ir  0.048  0.668  0.686
Ir  0.668  0.048  0.686

E_form   -315.2 meV per atom
Mass density   9.953 g/cm3
Volume   292.6 Å³ per cell


Q: Look up the mass density of the second one.
A: 9.953 g/cm3